Entry from the Alexandria database: crystalline NpCu2NiO8 at its relaxed geometry (PBE with a Hubbard U).

POSCAR file:
```
NpCu2NiO8
1.0
-3.2182 3.2182 3.4498
3.2182 -3.2182 3.4498
3.2182 3.2182 -3.4498
Np Cu Ni O
1 2 1 8
direct
0.0000 0.0000 0.0000
0.2500 0.7500 0.5000
0.5000 0.5000 0.0000
0.7500 0.2500 0.5000
0.0480 0.3497 0.3016
0.0480 0.7464 0.6984
0.1136 0.2995 0.8141
0.2536 0.9520 0.3016
0.4854 0.2995 0.1859
0.6503 0.9520 0.6984
0.7005 0.5146 0.8141
0.7005 0.8864 0.1859
```

Computed properties:
- crystal system = tetragonal
- raw total energy (eV/f.u.) = -74.01
- magnetic moment (μB/f.u.) = 2.8